No. 1
DFT (PBE) results for crystalline Er4TlCd2Hg at its relaxed geometry.

a b c (Å): 9.1121 9.1121 9.1121
angles (deg): 33.53 33.53 33.53
Atoms (fractional coordinates):
Er (0.1233, 0.1233, 0.1233)
Er (0.3733, 0.3733, 0.3733)
Er (0.6267, 0.6267, 0.6267)
Er (0.8767, 0.8767, 0.8767)
Tl (0.5000, 0.5000, 0.5000)
Cd (0.2496, 0.2496, 0.2496)
Cd (0.7504, 0.7504, 0.7504)
Hg (0.0000, 0.0000, 0.0000)

Results
Spin magnetization: 0.0 μB/f.u.
Formation energy: -355 meV per atom
D(E_F): 0.9917 states/eV/atom
ρ: 10.491 g/cm3



No. 2
DFT (PBE) results for crystalline CrCdC2 at its relaxed geometry.

a b c (Å): 5.7093 5.7093 5.7093
angles (deg): 129.22 129.22 74.66
Atoms (fractional coordinates):
Cr (0.0000, 0.0000, 0.0000)
Cr (0.7500, 0.2500, 0.5000)
Cd (0.2500, 0.7500, 0.5000)
Cd (0.5000, 0.5000, 0.0000)
C (0.0383, 0.6250, 0.9133)
C (0.3750, 0.2883, 0.4133)
C (0.7117, 0.1250, 0.0867)
C (0.8750, 0.9617, 0.5867)

Results
Spin magnetization: 0.0 μB/f.u.
Formation energy: 916 meV per atom
D(E_F): 0.0848 states/eV/atom
ρ: 5.750 g/cm3



No. 3
DFT (PBE) results for crystalline DySiSe4 at its relaxed geometry.

a b c (Å): 5.8288 9.2229 6.7946
angles (deg): 90.00 112.28 90.00
Atoms (fractional coordinates):
Dy (0.1059, 0.2500, 0.1511)
Dy (0.8941, 0.7500, 0.8489)
Si (0.3048, 0.7500, 0.4370)
Si (0.6952, 0.2500, 0.5630)
Se (0.0566, 0.5681, 0.2306)
Se (0.0566, 0.9319, 0.2306)
Se (0.3308, 0.2500, 0.6102)
Se (0.3791, 0.7500, 0.7924)
Se (0.6209, 0.2500, 0.2076)
Se (0.6692, 0.7500, 0.3898)
Se (0.9434, 0.0681, 0.7694)
Se (0.9434, 0.4319, 0.7694)

Results
Spin magnetization: 0.0 μB/f.u.
Raw total energy: -4.84 eV/atom
D(E_F): 0.4607 states/eV/atom
ρ: 4.976 g/cm3



No. 4
DFT (PBE) results for crystalline NiIrRh at its relaxed geometry.

a b c (Å): 4.5788 4.5788 4.5788
angles (deg): 145.57 132.14 60.29
Atoms (fractional coordinates):
Ni (0.0000, 0.0000, 0.0000)
Ir (0.3382, 0.3382, 0.0000)
Rh (0.6681, 0.6681, 0.0000)

Results
Spin magnetization: 0.0 μB/f.u.
Formation energy: 9 meV per atom
E above lowest polymorph: 0.0 meV/atom
D(E_F): 1.3832 states/eV/atom
ρ: 14.737 g/cm3



No. 5
DFT (PBE) results for crystalline SrLi2Pb at its relaxed geometry.

a b c (Å): 10.3059 10.3059 10.3059
angles (deg): 151.31 151.31 41.02
Atoms (fractional coordinates):
Sr (0.0000, 0.0000, 0.0000)
Sr (0.7500, 0.2500, 0.5000)
Li (0.3731, 0.6250, 0.2481)
Li (0.3750, 0.6231, 0.7481)
Li (0.3769, 0.1250, 0.7519)
Li (0.8750, 0.6269, 0.2519)
Pb (0.2500, 0.7500, 0.5000)
Pb (0.5000, 0.5000, 0.0000)

Results
Spin magnetization: 0.0 μB/f.u.
Formation energy: -156 meV per atom
D(E_F): 0.4982 states/eV/atom
ρ: 4.074 g/cm3



No. 6
DFT (PBE) results for crystalline La2CdPb at its relaxed geometry.

a b c (Å): 6.4655 6.4655 6.4655
angles (deg): 140.16 134.04 62.42
Atoms (fractional coordinates):
La (0.0000, 0.0000, 0.0000)
La (0.7328, 0.2328, 0.5000)
Cd (0.4712, 0.4712, 0.0000)
Pb (0.2681, 0.7681, 0.5000)

Results
Spin magnetization: 0.0 μB/f.u.
Formation energy: -446 meV per atom
D(E_F): 0.5398 states/eV/atom
ρ: 8.066 g/cm3



No. 7
DFT (PBE) results for crystalline CsCSCl2 at its relaxed geometry.

a b c (Å): 6.2264 6.2264 5.7123
angles (deg): 90.00 90.00 90.00
Atoms (fractional coordinates):
Cs (0.0000, 0.0000, 0.0000)
C (0.5000, 0.5000, 0.5000)
S (0.0000, 0.0000, 0.5000)
Cl (0.0000, 0.5000, 0.0000)
Cl (0.5000, 0.0000, 0.0000)

Results
Spin magnetization: 0.0 μB/f.u.
E above lowest polymorph: 1726.5 meV/atom
D(E_F): 3.9876 states/eV/atom
ρ: 1.859 g/cm3



No. 8
DFT (PBE) results for crystalline KIr2Pt at its relaxed geometry.

a b c (Å): 4.5906 4.5906 7.0910
angles (deg): 95.51 95.51 34.75
Atoms (fractional coordinates):
K (0.0000, 0.0000, 0.0000)
Ir (0.5012, 0.5012, 0.4685)
Ir (0.7634, 0.7634, 0.3533)
Pt (0.2339, 0.2339, 0.6759)

Results
Spin magnetization: 0.0 μB/f.u.
Formation energy: 429 meV per atom
E above lowest polymorph: 112.4 meV/atom
D(E_F): 1.2742 states/eV/atom
ρ: 12.122 g/cm3